The following is a DFT calculation (PBE with a Hubbard U) of a relaxed structure of Tl2FePdO4.

Lattice parameters (Å, degrees): 10.831 9.396 6.793 82.30 59.28 38.43
Element x y z (fractional)
Tl 0.040 0.040 0.710
Tl 0.290 0.290 0.960
Tl 0.710 0.710 0.040
Tl 0.960 0.960 0.290
Fe 0.375 0.375 0.375
Fe 0.625 0.625 0.625
Pd 0.125 0.125 0.125
Pd 0.875 0.875 0.875
O 0.034 0.711 0.503
O 0.252 0.503 0.711
O 0.289 0.966 0.748
O 0.497 0.748 0.966
O 0.503 0.252 0.034
O 0.711 0.034 0.252
O 0.748 0.497 0.289
O 0.966 0.289 0.497

Computed properties:
energy	-5.07	eV per atom